# 1
Compound: Sr2BeIO6
Source: Alexandria
Functional: PBE
Structure: optimized geometry

a b c (Å): 5.535 5.535 10.569
angles (deg): 74.82 74.82 60.00
Fractional positions:
Be 0.621 0.621 0.136
O 0.629 0.629 0.605
O 0.785 0.297 0.132
O 0.371 0.371 0.395
Sr 0.734 0.734 0.798
Sr 0.266 0.266 0.202
Be 0.379 0.379 0.864
O 0.215 0.215 0.868
O 0.137 0.629 0.605
Sr 0.871 0.871 0.388
O 0.297 0.785 0.132
O 0.785 0.785 0.132
O 0.215 0.703 0.868
I 0.500 0.500 0.500
O 0.629 0.137 0.605
Sr 0.129 0.129 0.612
O 0.703 0.215 0.868
I 0.000 0.000 0.000
O 0.371 0.863 0.395
O 0.863 0.371 0.395

Output
The uncorrected energy comes out at -114.0 eV/cell. The density is 5.06 g/cm³. The value obtained for the formation energy (no corrections) is -1.86 eV/atom.



# 2
Compound: AgSb2RuF
Source: Alexandria
Functional: PBE
Structure: optimized geometry

a b c (Å): 4.762 4.762 4.374
angles (deg): 90.00 90.00 90.00
Fractional positions:
Ru 0.500 0.500 0.500
Ag 0.000 0.000 0.500
F 0.000 0.000 0.000
Sb 0.000 0.500 0.000
Sb 0.500 0.000 0.000

Output
The uncorrected energy comes out at -20.5 eV/cell. The density is 7.89 g/cm³. The value obtained for the formation energy (no corrections) is 0.35 eV/atom.



# 3
Compound: Sr
Source: Alexandria
Functional: PBE
Structure: optimized geometry

a b c (Å): 6.778 6.778 7.075
angles (deg): 90.00 90.00 120.00
Site moments in Bohr magnetons follow the coordinates.
Fractional positions:
Sr 0.000 0.000 0.250  0.05
Sr 0.000 0.000 0.750  0.05
Sr 0.667 0.333 0.750  0.02
Sr 0.333 0.667 0.250  0.02

Output
The uncorrected energy comes out at -4.3 eV/cell. The density is 2.07 g/cm³. For the energy relative to the lowest polymorph listed for this composition, the calculation gives 613 meV per atom. The formation energy is 59 kJ/mol of formula units.



# 4
Compound: Na4TlHg12
Source: Alexandria
Functional: PBE
Structure: optimized geometry

a b c (Å): 8.526 8.526 8.526
angles (deg): 109.47 109.47 109.47
Fractional positions:
Na 0.500 0.500 0.500
Hg 0.695 0.000 0.695
Na 0.500 0.000 0.000
Hg 0.750 0.500 0.250
Na 0.000 0.500 0.000
Hg 0.250 0.500 0.750
Na 0.000 0.000 0.500
Hg 0.000 0.695 0.695
Hg 0.305 0.305 0.000
Hg 0.000 0.305 0.305
Hg 0.695 0.695 0.000
Tl 0.000 0.000 0.000
Hg 0.750 0.250 0.500
Hg 0.250 0.750 0.500
Hg 0.500 0.750 0.250
Hg 0.500 0.250 0.750
Hg 0.305 0.000 0.305

Output
The uncorrected energy comes out at -13.4 eV/cell. The density is 9.41 g/cm³. The formation energy is -205 kJ/mol of formula units.



# 5
Compound: Tl2CdCuAs2
Source: Alexandria
Functional: PBE
Structure: optimized geometry

a b c (Å): 5.909 5.982 9.340
angles (deg): 108.68 108.44 90.00
Fractional positions:
Tl 0.048 0.323 0.646
Tl 0.598 0.823 0.646
Cu 0.500 0.250 0.000
As 0.609 0.401 0.802
As 0.391 0.599 0.198
Tl 0.952 0.677 0.354
As 0.193 0.901 0.802
Tl 0.402 0.177 0.354
As 0.807 0.099 0.198
Cd 0.000 0.250 0.000
Cu 0.500 0.750 0.000
Cd 0.000 0.750 0.000

Output
The uncorrected energy comes out at -38.1 eV/cell. The density is 8.27 g/cm³. The formation energy is -2 kJ/mol of formula units.



# 6
Compound: Np2Zn5Au12
Source: Alexandria
Functional: PBE
Structure: optimized geometry

a b c (Å): 7.196 7.196 7.196
angles (deg): 81.61 81.61 81.61
Site moments in Bohr magnetons follow the coordinates.
Fractional positions:
Zn 0.899 0.899 0.899  0.01
Au 0.341 0.341 0.864  0.02
Au 0.305 0.695 0.000  0.02
Au 0.659 0.136 0.659  0.02
Au 0.659 0.659 0.136  0.02
Au 0.000 0.695 0.305  0.02
Np 0.642 0.642 0.642  4.15
Au 0.695 0.000 0.305  0.02
Zn 0.000 0.500 0.000  0.00
Zn 0.000 0.000 0.500  0.00
Zn 0.500 0.000 0.000  0.00
Zn 0.101 0.101 0.101  0.01
Au 0.305 0.000 0.695  0.02
Au 0.000 0.305 0.695  0.02
Au 0.136 0.659 0.659  0.02
Au 0.695 0.305 0.000  0.02
Np 0.358 0.358 0.358  4.15
Au 0.341 0.864 0.341  0.02
Au 0.864 0.341 0.341  0.02

Output
The uncorrected energy comes out at -73.9 eV/cell. The density is 14.52 g/cm³. The formation energy is -227 kJ/mol of formula units.



# 7
Compound: Ga5P2Pd12
Source: Alexandria
Functional: PBE
Structure: optimized geometry

a b c (Å): 7.459 7.569 6.653
angles (deg): 105.58 90.00 119.52
Fractional positions:
Pd 0.878 0.369 0.126
Pd 0.174 0.763 0.476
Pd 0.122 0.631 0.874
Ga 0.234 0.468 0.553
Pd 0.410 0.237 0.524
Pd 0.923 0.847 0.795
Pd 0.480 0.961 0.206
Pd 0.077 0.153 0.205
Ga 0.766 0.532 0.447
Ga 0.000 0.000 0.500
Ga 0.722 0.444 0.839
P 0.748 0.000 0.000
Pd 0.491 0.369 0.126
Ga 0.278 0.556 0.161
Pd 0.590 0.763 0.476
Pd 0.826 0.237 0.524
P 0.252 0.000 0.000
Pd 0.509 0.631 0.874
Pd 0.520 0.039 0.794

Output
The uncorrected energy comes out at -97.3 eV/cell. The density is 9.01 g/cm³. The formation energy is -869 kJ/mol of formula units.



# 8
Compound: SrScTa2F
Source: Alexandria
Functional: PBE
Structure: optimized geometry

a b c (Å): 5.658 3.931 5.658
angles (deg): 90.00 90.00 90.00
Site moments in Bohr magnetons follow the coordinates.
Fractional positions:
Ta 0.000 0.000 0.500  0.66
F 0.000 0.500 0.000  0.04
Ta 0.500 0.000 0.000  0.65
Sc 0.000 0.000 0.000  0.12
Sr 0.500 0.500 0.500  0.06

Output
The uncorrected energy comes out at -30.1 eV/cell. The density is 6.78 g/cm³. The value obtained for the formation energy (no corrections) is 0.71 eV/atom.



# 9
Compound: ThPd3Au
Source: Alexandria
Functional: PBE
Structure: optimized geometry

a b c (Å): 7.426 7.006 7.527
angles (deg): 90.00 90.00 90.00
Fractional positions:
Pd 0.361 0.369 0.021
Pd 0.139 0.869 0.979
Th 0.500 0.000 0.500
Th 0.000 0.500 0.500
Th 0.500 0.000 0.000
Th 0.000 0.500 0.000
Pd 0.368 0.702 0.250
Pd 0.861 0.131 0.021
Pd 0.361 0.369 0.479
Pd 0.132 0.202 0.750
Pd 0.139 0.869 0.521
Pd 0.639 0.631 0.979
Pd 0.639 0.631 0.521
Au 0.162 0.140 0.250
Au 0.662 0.360 0.250
Au 0.338 0.640 0.750
Pd 0.868 0.798 0.250
Pd 0.632 0.298 0.750
Au 0.838 0.860 0.750
Pd 0.861 0.131 0.479

Output
The uncorrected energy comes out at -116.1 eV/cell. The density is 12.69 g/cm³. For the energy relative to the lowest polymorph listed for this composition, the calculation gives 43 meV per atom. The formation energy is -266 kJ/mol of formula units.



# 10
Compound: Th3US6
Source: Alexandria
Functional: PBE
Structure: optimized geometry

a b c (Å): 4.025 11.006 11.419
angles (deg): 105.26 90.00 90.00
Site moments in Bohr magnetons follow the coordinates.
Fractional positions:
U 0.750 0.046 0.694  2.50
Th 0.250 0.848 0.935  0.02
S 0.250 0.890 0.547  -0.04
Th 0.250 0.305 0.488  0.09
S 0.750 0.760 0.287  -0.03
Th 0.750 0.695 0.512  0.09
S 0.250 0.586 0.917  0.00
U 0.250 0.954 0.306  2.50
Th 0.750 0.152 0.065  0.02
S 0.750 0.916 0.114  -0.03
S 0.250 0.240 0.713  -0.03
S 0.750 0.110 0.453  -0.04
Th 0.250 0.596 0.168  0.04
S 0.250 0.195 0.241  -0.01
S 0.250 0.526 0.387  0.00
S 0.750 0.805 0.759  -0.01
S 0.750 0.474 0.613  0.00
S 0.750 0.414 0.083  0.00
Th 0.750 0.404 0.832  0.04
S 0.250 0.084 0.886  -0.03

Output
The uncorrected energy comes out at -151.4 eV/cell. The density is 7.67 g/cm³. The value obtained for the formation energy (no corrections) is -1.74 eV/atom.



# 11
Compound: V6GeW
Source: Alexandria
Functional: PBE
Structure: optimized geometry

a b c (Å): 6.801 6.805 4.806
angles (deg): 45.06 45.01 60.05
Fractional positions:
V 0.748 0.000 0.752
V 0.000 0.500 0.248
V 0.252 0.000 0.248
V 0.500 0.252 0.248
V 0.500 0.748 0.752
Ge 0.000 0.000 0.000
W 0.500 0.500 0.500
V 0.000 0.500 0.752

Output
The uncorrected energy comes out at -73.6 eV/cell. The density is 8.38 g/cm³. For the energy relative to the lowest polymorph listed for this composition, the calculation gives 0 meV per atom. The formation energy is -126 kJ/mol of formula units.



# 12
Compound: NpTiCl6
Source: Alexandria
Functional: PBE
Structure: optimized geometry

a b c (Å): 6.547 6.547 7.031
angles (deg): 62.26 62.26 60.01
Site moments in Bohr magnetons follow the coordinates.
Fractional positions:
Ti 0.000 0.000 0.000  1.06
Cl 0.766 0.093 0.763  -0.04
Cl 0.234 0.907 0.237  -0.04
Np 0.500 0.500 0.500  3.86
Cl 0.093 0.377 0.763  -0.04
Cl 0.907 0.623 0.237  -0.04
Cl 0.623 0.234 0.237  -0.04
Cl 0.377 0.766 0.763  -0.04

Output
The uncorrected energy comes out at -44.8 eV/cell. The density is 3.75 g/cm³. For the energy relative to the lowest polymorph listed for this composition, the calculation gives 19 meV per atom. The value obtained for the formation energy (no corrections) is -1.61 eV/atom.



# 13
Compound: Li2CoAg
Source: Alexandria
Functional: PBE
Structure: optimized geometry

a b c (Å): 6.779 6.779 5.459
angles (deg): 51.62 51.62 90.00
Site moments in Bohr magnetons follow the coordinates.
Fractional positions:
Co 0.250 0.750 0.500  1.71
Li 0.615 0.125 0.250  -0.03
Ag 0.000 0.000 0.000  0.00
Li 0.135 0.625 0.250  -0.03
Co 0.500 0.500 0.000  1.71
Li 0.375 0.385 0.750  -0.03
Li 0.875 0.865 0.750  -0.03
Ag 0.750 0.250 0.500  0.01

Output
The uncorrected energy comes out at -24.6 eV/cell. The density is 5.00 g/cm³. The formation energy is 145 kJ/mol of formula units.



# 14
Compound: CsTlCuHg2
Source: Alexandria
Functional: PBE
Structure: optimized geometry

a b c (Å): 5.419 5.419 5.418
angles (deg): 90.00 90.00 90.00
Fractional positions:
Hg 0.500 0.000 0.000
Tl 0.000 0.000 0.500
Cs 0.500 0.500 0.500
Hg 0.000 0.500 0.000
Cu 0.000 0.000 0.000

Output
The uncorrected energy comes out at -8.0 eV/cell. The density is 8.37 g/cm³. The formation energy is -7 kJ/mol of formula units.



# 15
Compound: ErCu2Si
Source: Alexandria
Functional: PBE
Structure: optimized geometry

a b c (Å): 3.855 3.855 9.074
angles (deg): 90.00 90.00 90.00
Fractional positions:
Cu 0.000 0.500 0.076
Er 0.000 0.500 0.764
Er 0.500 0.000 0.236
Cu 0.500 0.000 0.924
Cu 0.500 0.500 0.500
Si 0.500 0.000 0.657
Cu 0.000 0.000 0.500
Si 0.000 0.500 0.343

Output
The uncorrected energy comes out at -39.5 eV/cell. The density is 7.94 g/cm³. The value obtained for the formation energy (no corrections) is -0.40 eV/atom.



# 16
Compound: Li2In2IrO6
Source: Alexandria
Functional: PBE
Structure: optimized geometry

a b c (Å): 5.631 5.631 5.152
angles (deg): 96.89 96.89 120.35
Site moments in Bohr magnetons follow the coordinates.
Fractional positions:
O 0.352 0.039 0.714  0.05
Li 0.132 0.868 0.000  0.00
O 0.253 0.253 0.277  0.04
O 0.747 0.747 0.723  0.04
Ir 0.000 0.000 0.500  0.69
In 0.663 0.337 0.500  0.00
O 0.039 0.352 0.714  0.05
O 0.961 0.648 0.286  0.05
Li 0.868 0.132 0.000  0.00
In 0.337 0.663 0.500  0.00
O 0.648 0.961 0.286  0.05

Output
The uncorrected energy comes out at -63.3 eV/cell. The density is 6.45 g/cm³. The value obtained for the formation energy (no corrections) is -1.40 eV/atom.



# 17
Compound: Cs3SbBr6
Source: Alexandria
Functional: PBE
Structure: optimized geometry

a b c (Å): 8.802 8.802 8.802
angles (deg): 60.00 60.00 60.00
Fractional positions:
Br 0.774 0.226 0.774
Cs 0.500 0.500 0.500
Br 0.226 0.774 0.774
Br 0.774 0.774 0.226
Cs 0.250 0.250 0.250
Br 0.774 0.226 0.226
Br 0.226 0.774 0.226
Cs 0.750 0.750 0.750
Sb 0.000 0.000 0.000
Br 0.226 0.226 0.774

Output
The uncorrected energy comes out at -29.9 eV/cell. The density is 3.44 g/cm³. For the energy relative to the lowest polymorph listed for this composition, the calculation gives 44 meV per atom. The value obtained for the formation energy (no corrections) is -1.31 eV/atom.



# 18
Compound: AlTl3Ga
Source: Alexandria
Functional: PBE
Structure: optimized geometry

a b c (Å): 5.418 5.418 5.418
angles (deg): 90.00 90.00 90.00
Fractional positions:
Tl 0.000 0.500 0.000
Ga 0.500 0.500 0.500
Tl 0.000 0.000 0.500
Tl 0.500 0.000 0.000
Al 0.000 0.000 0.000

Output
The uncorrected energy comes out at -11.9 eV/cell. The density is 7.41 g/cm³. For the energy relative to the lowest polymorph listed for this composition, the calculation gives 0 meV per atom. The formation energy is 186 kJ/mol of formula units.



# 19
Compound: Y2AgBr
Source: Alexandria
Functional: PBE
Structure: optimized geometry

a b c (Å): 5.218 5.218 5.218
angles (deg): 60.00 60.00 60.00
Fractional positions:
Y 0.750 0.750 0.750
Y 0.250 0.250 0.250
Ag 0.500 0.500 0.500
Br 0.000 0.000 0.000

Output
The uncorrected energy comes out at -19.1 eV/cell. The density is 6.04 g/cm³. For the energy relative to the lowest polymorph listed for this composition, the calculation gives 200 meV per atom. The value obtained for the formation energy (no corrections) is -0.40 eV/atom.



# 20
Compound: LiMnOsAu2
Source: Alexandria
Functional: PBE
Structure: optimized geometry

a b c (Å): 4.921 4.353 4.921
angles (deg): 90.00 90.00 90.00
Site moments in Bohr magnetons follow the coordinates.
Fractional positions:
Au 0.500 0.000 0.000  0.07
Mn 0.000 0.000 0.000  2.07
Li 0.500 0.500 0.500  0.00
Au 0.000 0.000 0.500  0.13
Os 0.000 0.500 0.000  0.44

Output
The uncorrected energy comes out at -24.4 eV/cell. The density is 10.18 g/cm³. The formation energy is 427 kJ/mol of formula units.